Al2TcW: relaxed, PBE.

abc: 6.898 6.898 5.408
angles: 90.00 90.00 90.00
Space group I-42d (No. 122)
One atom of each set of equivalent atoms:
Al 0.237 0.750 0.125 [8 per cell]
Tc 0.000 0.000 0.000 [4 per cell]
W 0.000 0.000 0.500 [4 per cell]

The value obtained for the relative energy among the computed polymorphs is 803 meV/atom. The calculated formation energy is 492 meV per atom.


TbSm2ScSb4: relaxed, PBE.

abc: 7.583 4.387 7.592
angles: 90.00 109.51 90.00
Space group P2/m (No. 10)
One atom of each set of equivalent atoms:
Tb 0.000 0.000 0.000 [1 per cell]
Sm 0.500 0.000 0.500 [1 per cell]
Sm 0.500 0.500 0.000 [1 per cell]
Sc 0.000 0.500 0.500 [1 per cell]
Sb 0.235 0.000 0.738 [2 per cell]
Sb 0.240 0.500 0.254 [2 per cell]

The value obtained for the uncorrected formation energy is -8.8 eV/f.u.


Nd2TmGe4Pt3: relaxed, PBE.

abc: 4.300 4.300 11.253
angles: 90.00 90.00 90.00
Space group P-4m2 (No. 115)
One atom of each set of equivalent atoms:
Nd 0.000 0.500 0.233 [2 per cell]
Tm 0.000 0.000 0.500 [1 per cell]
Ge 0.000 0.000 0.000 [1 per cell]
Ge 0.000 0.500 0.660 [2 per cell]
Ge 0.500 0.500 0.000 [1 per cell]
Pt 0.000 0.500 0.881 [2 per cell]
Pt 0.500 0.500 0.500 [1 per cell]

The calculated formation energy is -922 meV per atom.


Tm2ThSc: relaxed, PBE.

abc: 3.4874 3.4874 33.4646
angles: 90.00 90.00 120.00
Space group R-3m (No. 166, hexagonal axes)
One atom of each set of equivalent atoms:
Tm 0.0000 0.0000 0.2482 [6 per cell]
Th 0.0000 0.0000 0.0000 [3 per cell]
Sc 0.0000 0.0000 0.5000 [3 per cell]

The value obtained for the relative energy among the computed polymorphs is 16 meV/atom. The calculated formation energy is 50 meV per atom.


AlGa2Au7: relaxed, PBE.

abc: 16.326 6.379 7.984
angles: 90.00 117.34 90.00
Space group C2/c (No. 15)
One atom of each set of equivalent atoms:
Al 0.000 0.028 0.250 [4 per cell]
Ga 0.210 0.473 0.787 [8 per cell]
Au 0.000 0.448 0.250 [4 per cell]
Au 0.070 0.211 0.584 [8 per cell]
Au 0.139 0.267 0.987 [8 per cell]
Au 0.173 0.139 0.356 [8 per cell]

The calculated formation energy is -166 meV per atom.


DyHoTlIr: relaxed, PBE.

abc: 3.455 3.455 8.056
angles: 90.00 90.00 90.00
Space group P4mm (No. 99)
One atom of each set of equivalent atoms:
Dy 0.000 0.000 0.000 [1 per cell]
Ho 0.000 0.000 0.590 [1 per cell]
Tl 0.500 0.500 0.296 [1 per cell]
Ir 0.500 0.500 0.793 [1 per cell]

The value obtained for the relative energy among the computed polymorphs is 0 meV/atom. The calculated formation energy is -619 meV per atom.


HfCrFe2Te: relaxed, PBE.

abc: 4.601 4.601 5.016
angles: 90.00 90.00 90.00
Space group P4/mmm (No. 123)
One atom of each set of equivalent atoms:
Hf 0.000 0.000 0.000 [1 per cell]
Cr 0.000 0.000 0.500 [1 per cell]
Fe 0.000 0.500 0.000 [2 per cell]
Te 0.500 0.500 0.500 [1 per cell]

The value obtained for the uncorrected formation energy is 6.8 eV/f.u.


ScHgTe2: relaxed, PBE.

abc: 7.253 4.190 8.161
angles: 90.00 107.57 90.00
Space group C2/m (No. 12)
One atom of each set of equivalent atoms:
Sc 0.000 0.000 0.000 [2 per cell]
Hg 0.000 0.500 0.500 [2 per cell]
Te 0.240 0.500 0.215 [4 per cell]

The value obtained for the uncorrected formation energy is -2.8 eV/f.u.


NpPaB4: relaxed, PBE.

abc: 5.959 11.542 4.062
angles: 90.00 90.00 90.00
Space group Pbam (No. 55)
One atom of each set of equivalent atoms:
Np 0.125 0.078 0.000 [4 per cell]
Pa 0.118 0.343 0.000 [4 per cell]
B 0.021 0.804 0.500 [4 per cell]
B 0.126 0.947 0.500 [4 per cell]
B 0.130 0.531 0.500 [4 per cell]
B 0.206 0.687 0.500 [4 per cell]

The value obtained for the relative energy among the computed polymorphs is 0 meV/atom. The calculated formation energy is -345 meV per atom.


PmHoO3: relaxed, PBE.

abc: 3.547 14.251 5.816
angles: 90.00 90.00 90.00
Space group Cmc2_1 (No. 36)
One atom of each set of equivalent atoms:
Pm 0.000 0.181 0.000 [4 per cell]
Ho 0.000 0.456 0.943 [4 per cell]
O 0.000 0.026 0.158 [4 per cell]
O 0.000 0.316 0.774 [4 per cell]
O 0.000 0.378 0.278 [4 per cell]

The value obtained for the uncorrected formation energy is -17.2 eV/f.u.


Zr2TiCl: relaxed, PBE.

abc: 4.078 4.078 20.109
angles: 90.00 90.00 90.00
Space group I-42d (No. 122)
One atom of each set of equivalent atoms:
Zr 0.246 0.250 0.125 [8 per cell]
Ti 0.000 0.000 0.500 [4 per cell]
Cl 0.000 0.000 0.000 [4 per cell]

The value obtained for the uncorrected formation energy is 1.4 eV/f.u. The value obtained for the relative energy among the computed polymorphs is 0 meV/atom.


no.,density of states at the Fermi level (states/eV/cell),magnetic moment (μB per formula unit)
1,10.0,0.000
2,1.2,0.000
3,3.8,0.000
4,20.4,0.000
5,11.3,0.000
6,3.1,0.000
7,5.5,7.338
8,3.8,0.000
9,24.5,0.015
10,0.0,0.000
11,18.6,0.000